First-principles (PBE-GGA) data for a geometry-optimized FeTe structure, as listed in the Alexandria database.

Geometry as CIF:
```
data_FeTe
_chemical_formula_sum 'Fe4 Te4'
_symmetry_space_group_name_H-M 'P 42/m n m'
_symmetry_Int_Tables_number 136
_symmetry_space_group_name_Hall '-P 4n 2n'
_cell_length_a 6.708
_cell_length_b 6.708
_cell_length_c 4.511
_cell_angle_alpha 90.00
_cell_angle_beta 90.00
_cell_angle_gamma 90.00
loop_
_atom_site_label
_atom_site_fract_x
_atom_site_fract_y
_atom_site_fract_z
Fe1 0.127 0.127 0.000
Te1 0.240 0.760 0.000
```

Summary:
As for the energy: -0.20477 hartree per atom. The value obtained for the formation energy (no corrections) is 0.230 eV per atom.



First-principles (PBE-GGA) data for a geometry-optimized HfSc2Cu2 structure, as listed in the Alexandria database.

Geometry as CIF:
```
data_HfSc2Cu2
_chemical_formula_sum 'Hf2 Sc4 Cu4'
_symmetry_space_group_name_H-M 'P 4/m b m'
_symmetry_Int_Tables_number 127
_symmetry_space_group_name_Hall '-P 4 2ab'
_cell_length_a 7.471
_cell_length_b 7.471
_cell_length_c 3.331
_cell_angle_alpha 90.00
_cell_angle_beta 90.00
_cell_angle_gamma 90.00
loop_
_atom_site_label
_atom_site_fract_x
_atom_site_fract_y
_atom_site_fract_z
Hf1 0.000 0.000 0.000
Sc1 0.168 0.332 0.500
Cu1 0.127 0.627 0.000
```

Summary:
The formation energy is -0.13 eV/atom. As for the energy: -0.23118 hartree per atom. The energy above the most stable polymorph in this dataset comes out at 0.000 eV per atom.



First-principles (PBE-GGA) data for a geometry-optimized CsInHgPb structure, as listed in the Alexandria database.

Geometry as CIF:
```
data_CsInHgPb
_chemical_formula_sum 'Cs4 In4 Hg4 Pb4'
_symmetry_space_group_name_H-M 'F -4 3 m'
_symmetry_Int_Tables_number 216
_symmetry_space_group_name_Hall 'F -4 2 3'
_cell_length_a 8.228
_cell_length_b 8.228
_cell_length_c 8.228
_cell_angle_alpha 90.00
_cell_angle_beta 90.00
_cell_angle_gamma 90.00
loop_
_atom_site_label
_atom_site_fract_x
_atom_site_fract_y
_atom_site_fract_z
Cs1 0.000 0.000 0.000
In1 0.250 0.250 0.250
Hg1 0.250 0.250 0.750
Pb1 0.000 0.000 0.500
```

Summary:
The formation energy is 0.00 eV/atom. As for the energy: -0.06987 hartree per atom. The energy above the most stable polymorph in this dataset comes out at 0.108 eV per atom.



Question: What is the formula in the first record?
Answer: FeTe